(1)
Here is an optimized crystal structure of KMo2Pb from Alexandria via LeMat-Bulk. Energies are from GGA-PBE.

a b c (Å): 6.0073 6.0073 2.8132
angles (deg): 90.00 90.00 121.00
Last column: nearest neighbours and their distance in Å.
Fractional coordinates of all 4 atoms:
K 0.0000 0.5000 0.5000  2 K 2.81, 2 Pb 2.96
Mo 0.0000 0.0000 0.0000  4 Mo 2.81-2.96
Mo 0.5000 0.5000 0.0000  4 Mo 2.81-2.96
Pb 0.5000 0.0000 0.5000  2 Pb 2.81, 2 K 2.96

- energy of formation (kJ/mol of atoms) = 139.25
- raw total energy (eV/atom) = -5.174
- crystal system = orthorhombic
- D(E_F) (states/eV per atom) = 1.32

=====

(2)
Here is an optimized crystal structure of KMo2Pb from Alexandria via LeMat-Bulk. Energies are from GGA-PBE.

a b c (Å): 6.3930 6.3930 6.3930
angles (deg): 150.42 127.07 61.81
Last column: nearest neighbours and their distance in Å.
Fractional coordinates of all 4 atoms:
K 0.7700 0.2700 0.5000  2 K 3.26, 6 Mo 3.36-3.51, 2 Pb 3.61
Mo 0.0531 0.0531 0.0000  2 Mo 2.34
Mo 0.2055 0.7055 0.5000  2 Mo 2.34
Pb 0.4714 0.4714 0.0000  2 Pb 3.26, 6 Mo 3.34-3.40, 2 K 3.61

- energy of formation (kJ/mol of atoms) = 92.25
- raw total energy (eV/atom) = -5.661
- crystal system = orthorhombic
- D(E_F) (states/eV per atom) = 0.91

=====

(3)
Here is an optimized crystal structure of K2MoPb from Alexandria via LeMat-Bulk. Energies are from GGA-PBE.

a b c (Å): 12.6062 12.6062 12.6062
angles (deg): 14.73 14.73 14.73
Last column: nearest neighbours and their distance in Å.
Fractional coordinates of all 4 atoms:
K 0.9966 0.9966 0.9966  6 K 3.23, 3 Mo 3.52
K 0.5034 0.5034 0.5034  6 K 3.23, 3 Mo 3.52
Mo 0.2500 0.2500 0.2500  6 Mo 3.23, 6 K 3.52
Pb 0.7500 0.7500 0.7500  6 Pb 3.23

- energy of formation (kJ/mol of atoms) = 99.76
- raw total energy (eV/atom) = -3.150
- crystal system = trigonal
- D(E_F) (states/eV per atom) = 1.02

=====

(4)
Here is an optimized crystal structure of KMo2Pb from Alexandria via LeMat-Bulk. Energies are from GGA-PBE.

a b c (Å): 3.3016 3.3031 9.0650
angles (deg): 90.00 90.00 90.00
Last column: nearest neighbours and their distance in Å.
Fractional coordinates of all 4 atoms:
K 0.5000 0.5000 0.7623  4 K 3.30
Mo 0.0000 0.0000 0.0845  4 Mo 2.60
Mo 0.5000 0.5000 0.2111  4 Mo 2.60
Pb 0.0000 0.0000 0.4421  5 Mo 3.14-3.24, 4 Pb 3.30

- energy of formation (kJ/mol of atoms) = 51.19
- raw total energy (eV/atom) = -6.086
- crystal system = tetragonal
- D(E_F) (states/eV per atom) = 1.11

=====

(5)
Here is an optimized crystal structure of KMo2Pb from Alexandria via LeMat-Bulk. Energies are from GGA-PBE.

a b c (Å): 8.3557 8.3557 6.5299
angles (deg): 50.22 50.22 90.00
Last column: nearest neighbours and their distance in Å.
Fractional coordinates of all 8 atoms:
Pb 0.0000 0.0000 0.0000  2 K 2.78, 4 Mo 2.80
Pb 0.7500 0.2500 0.5000  2 K 2.78, 4 Mo 2.80
Mo 0.6679 0.1250 0.2500  2 Pb 2.80, 2 Mo 2.87
Mo 0.0821 0.6250 0.2500  2 Pb 2.80, 2 Mo 2.87
Mo 0.3750 0.3321 0.7500  2 Pb 2.80, 2 Mo 2.87
Mo 0.8750 0.9179 0.7500  2 Pb 2.80, 2 Mo 2.87
K 0.5000 0.5000 0.0000  2 Pb 2.78
K 0.2500 0.7500 0.5000  2 Pb 2.78

- energy of formation (kJ/mol of atoms) = 169.21
- raw total energy (eV/atom) = -4.863
- crystal system = tetragonal
- D(E_F) (states/eV per atom) = 0.97

=====

(6)
Here is an optimized crystal structure of K2MoPb from Alexandria via LeMat-Bulk. Energies are from GGA-PBE.

a b c (Å): 3.8681 3.8681 10.2457
angles (deg): 90.00 90.00 90.00
Last column: nearest neighbours and their distance in Å.
Fractional coordinates of all 4 atoms:
K 0.0000 0.0000 0.9271  1 Mo 3.48, 4 Pb 3.83, 4 K 3.87
K 0.5000 0.5000 0.3200  1 Pb 3.54, 4 K 3.87, 4 Mo 3.87
Mo 0.0000 0.0000 0.5871  4 Pb 2.85
Pb 0.5000 0.5000 0.6658  4 Mo 2.85

- energy of formation (kJ/mol of atoms) = 67.45
- raw total energy (eV/atom) = -3.485
- crystal system = tetragonal
- D(E_F) (states/eV per atom) = 0.94

=====

(7)
Here is an optimized crystal structure of K2MoPb from Alexandria via LeMat-Bulk. Energies are from GGA-PBE.

a b c (Å): 4.9171 4.9171 8.9652
angles (deg): 74.31 74.31 59.92
Last column: nearest neighbours and their distance in Å.
Fractional coordinates of all 4 atoms:
K 0.9677 0.9677 0.0942  3 Mo 3.70-3.71, 3 Pb 3.71-3.72
K 0.7824 0.7824 0.6558  3 Pb 3.71, 3 Mo 3.71-3.72
Mo 0.5417 0.5417 0.3742  3 Pb 2.84
Pb 0.2082 0.2082 0.3757  3 Mo 2.84

- energy of formation (kJ/mol of atoms) = 68.05
- raw total energy (eV/atom) = -3.478
- crystal system = monoclinic
- D(E_F) (states/eV per atom) = 0.58

=====

(8)
Here is an optimized crystal structure of KMo2PbS from Alexandria via LeMat-Bulk. Energies are from GGA-PBE.

a b c (Å): 4.5931 5.5289 4.5931
angles (deg): 90.00 90.00 90.00
Last column: nearest neighbours and their distance in Å.
Fractional coordinates of all 5 atoms:
Pb 0.5000 0.5000 0.5000  4 K 3.25, 8 Mo 3.59
Mo 0.0000 0.0000 0.5000  2 S 2.30
Mo 0.5000 0.0000 0.0000  2 S 2.30
S 0.0000 0.0000 0.0000  4 Mo 2.30
K 0.0000 0.5000 0.0000  2 S 2.76

- raw total energy (eV/atom) = -5.423
- energy relative to the elements, uncorrected (meV per atom) = 696
- crystal system = tetragonal
- D(E_F) (states/eV per atom) = 1.22

=====

(9)
Here is an optimized crystal structure of K2ScMoPb from Alexandria via LeMat-Bulk. Energies are from GGA-PBE.

a b c (Å): 6.3233 4.8744 6.3233
angles (deg): 90.00 90.00 90.00
Last column: nearest neighbours and their distance in Å.
Fractional coordinates of all 5 atoms:
Pb 0.5000 0.5000 0.5000  8 K 3.99
Sc 0.0000 0.5000 0.0000  2 Mo 2.44
Mo 0.0000 0.0000 0.0000  2 Sc 2.44
K 0.0000 0.0000 0.5000  2 Mo 3.16
K 0.5000 0.0000 0.0000  2 Mo 3.16

- energy of formation (kJ/mol of atoms) = 109.52
- raw total energy (eV/atom) = -3.478
- crystal system = tetragonal
- D(E_F) (states/eV per atom) = 0.99

=====

(10)
Here is an optimized crystal structure of KMo2PbSe from Alexandria via LeMat-Bulk. Energies are from GGA-PBE.

a b c (Å): 5.3571 6.1984 5.3571
angles (deg): 90.00 90.00 90.00
Last column: nearest neighbours and their distance in Å.
Fractional coordinates of all 5 atoms:
Pb 0.0000 0.0000 0.0000  4 Mo 2.68
Mo 0.0000 0.0000 0.5000  2 Pb 2.68
Mo 0.5000 0.0000 0.0000  2 Pb 2.68
K 0.0000 0.5000 0.0000  2 Pb 3.10
Se 0.5000 0.5000 0.5000  4 K 3.79, 8 Mo 4.10

- raw total energy (eV/atom) = -4.362
- energy relative to the elements, uncorrected (meV per atom) = 1628
- crystal system = tetragonal
- D(E_F) (states/eV per atom) = 0.27

=====

(11)
Here is an optimized crystal structure of K3MoPd from Alexandria via LeMat-Bulk. Energies are from GGA-PBE.

a b c (Å): 6.1820 6.1820 6.1820
angles (deg): 90.00 90.00 90.00
Last column: nearest neighbours and their distance in Å.
Fractional coordinates of all 5 atoms:
Mo 0.5000 0.5000 0.5000  12 K 4.37
K 0.0000 0.5000 0.0000  2 Pd 3.09
K 0.0000 0.0000 0.5000  2 Pd 3.09
K 0.5000 0.0000 0.0000  2 Pd 3.09
Pd 0.0000 0.0000 0.0000  6 K 3.09

- energy of formation (kJ/mol of atoms) = 102.15
- energy above the lowest structure with this stoichiometry (eV/atom) = 0.0000
- raw total energy (eV/atom) = -2.805
- crystal system = cubic
- D(E_F) (states/eV per atom) = 0.02

=====

(12)
Here is an optimized crystal structure of KMo3Pd from Alexandria via LeMat-Bulk. Energies are from GGA-PBE.

a b c (Å): 4.4497 4.4497 4.4497
angles (deg): 90.00 90.00 90.00
Last column: nearest neighbours and their distance in Å.
Fractional coordinates of all 5 atoms:
Mo 0.0000 0.5000 0.0000  2 K 2.22
Mo 0.0000 0.0000 0.5000  2 K 2.22
Mo 0.5000 0.0000 0.0000  2 K 2.22
K 0.0000 0.0000 0.0000  6 Mo 2.22
Pd 0.5000 0.5000 0.5000  12 Mo 3.15

- energy of formation (kJ/mol of atoms) = 283.72
- energy above the lowest structure with this stoichiometry (eV/atom) = 0.8599
- raw total energy (eV/atom) = -4.816
- crystal system = cubic
- D(E_F) (states/eV per atom) = 0.67

=====

(13)
Here is an optimized crystal structure of KMo3Pd from Alexandria via LeMat-Bulk. Energies are from GGA-PBE.

a b c (Å): 4.9393 4.9393 4.9393
angles (deg): 90.00 90.00 90.00
Last column: nearest neighbours and their distance in Å.
Fractional coordinates of all 5 atoms:
Mo 0.0000 0.5000 0.0000  2 Pd 2.47
Mo 0.0000 0.0000 0.5000  2 Pd 2.47
Mo 0.5000 0.0000 0.0000  2 Pd 2.47
K 0.5000 0.5000 0.5000  12 Mo 3.49
Pd 0.0000 0.0000 0.0000  6 Mo 2.47

- energy of formation (kJ/mol of atoms) = 200.75
- energy above the lowest structure with this stoichiometry (eV/atom) = 0.0000
- raw total energy (eV/atom) = -5.676
- crystal system = cubic
- D(E_F) (states/eV per atom) = 1.56

=====

(14)
Here is an optimized crystal structure of KMo2Pd from Alexandria via LeMat-Bulk. Energies are from GGA-PBE.

a b c (Å): 4.6298 4.6298 4.6298
angles (deg): 60.00 60.00 60.00
Last column: nearest neighbours and their distance in Å.
Fractional coordinates of all 4 atoms:
Mo 0.2500 0.2500 0.2500  4 K 2.84, 4 Pd 2.84
Mo 0.7500 0.7500 0.7500  4 K 2.84, 4 Pd 2.84
K 0.0000 0.0000 0.0000  8 Mo 2.84
Pd 0.5000 0.5000 0.5000  8 Mo 2.84

- energy of formation (kJ/mol of atoms) = 153.00
- energy above the lowest structure with this stoichiometry (eV/atom) = 0.3307
- raw total energy (eV/atom) = -5.402
- crystal system = cubic
- D(E_F) (states/eV per atom) = 1.29